1.
# Tb2Tl2In | the Alexandria database | PBE | optimized geometry
# **DFT formation energy**: -306 meV per atom
# **Distance to the lowest polymorph of the same formula**: 0 meV/atom
# **Spin magnetization**: 0.00 Bohr magnetons per cell
# **Density of states at the Fermi level**: 5.63 states/eV/cell
data_Tb2Tl2In
_chemical_formula_sum 'Tb4 Tl4 In2'
_space_group_name_H-M_alt 'P 4/m b m'
_space_group_IT_number 127
_space_group_name_Hall '-P 4 2ab'
_cell_length_a 7.743
_cell_length_b 7.743
_cell_length_c 4.626
_cell_angle_alpha 90.00
_cell_angle_beta 90.00
_cell_angle_gamma 90.00
loop_
_atom_site_label
_atom_site_type_symbol
_atom_site_fract_x
_atom_site_fract_y
_atom_site_fract_z
Tb1 Tb 0.169 0.331 0.000
Tl1 Tl 0.136 0.636 0.500
In1 In 0.000 0.000 0.500

=====

2.
# TbCeSmZr | the Alexandria database | PBE | optimized geometry
# **DFT formation energy**: 256 meV per atom
# **Spin magnetization**: 8.71 Bohr magnetons per cell
# **Density of states at the Fermi level**: 44.63 states/eV/cell
data_TbCeSmZr
_chemical_formula_sum 'Tb4 Ce4 Sm4 Zr4'
_space_group_name_H-M_alt 'F -4 3 m'
_space_group_IT_number 216
_space_group_name_Hall 'F -4 2 3'
_cell_length_a 7.779
_cell_length_b 7.779
_cell_length_c 7.779
_cell_angle_alpha 90.00
_cell_angle_beta 90.00
_cell_angle_gamma 90.00
loop_
_atom_site_label
_atom_site_type_symbol
_atom_site_fract_x
_atom_site_fract_y
_atom_site_fract_z
Tb1 Tb 0.000 0.000 0.000
Ce1 Ce 0.000 0.000 0.500
Sm1 Sm 0.250 0.250 0.750
Zr1 Zr 0.250 0.250 0.250